Here is crystalline BaTiPd2 at its relaxed geometry from the Alexandria database. Energies are from PBE.

Structure (extended XYZ):
```
4
Lattice="-2.876 0.377 1.654 0.343 -3.059 1.293 3.871 2.991 6.050" Properties=species:S:1:pos:R:3 pbc="T T T"
Pd 3.183 2.460 4.975
Pd 0.688 0.531 1.075
Ba 0.669 0.155 4.498
Ti -1.266 -1.341 1.473
```

Values from the calculation:
Space group: No. 123
Excess energy over the best structure of this formula in the dataset (eV/atom): 0.000

***

Here is crystalline Ba2Tl5Pd4 at its relaxed geometry from the Alexandria database. Energies are from PBE.

Structure (extended XYZ):
```
11
Lattice="5.850 0.000 2.793 2.925 5.983 1.396 -0.466 0.000 8.500" Properties=species:S:1:pos:R:3 pbc="T T T"
Tl 4.388 2.992 2.094
Tl 2.925 0.000 1.396
Tl 5.617 2.992 7.042
Tl 1.463 2.992 0.698
Tl 2.692 2.992 5.646
Pd 1.938 1.430 3.463
Pd 3.446 1.430 7.829
Pd 6.371 4.553 9.225
Pd 4.864 4.553 4.860
Ba 4.828 0.000 4.935
Ba 0.557 0.000 6.358
```

Values from the calculation:
Space group: No. 69
Excess energy over the best structure of this formula in the dataset (eV/atom): 0.000

***

Here is crystalline BaTl2Pd2 at its relaxed geometry from the Alexandria database. Energies are from PBE.

Structure (extended XYZ):
```
5
Lattice="-2.216 2.967 -2.922 1.039 -2.812 -3.642 -5.715 -2.916 -2.434" Properties=species:S:1:pos:R:3 pbc="T T T"
Tl -4.260 0.064 -4.319
Tl -2.632 -2.825 -4.679
Ba 0.000 0.000 0.000
Pd -5.150 -2.165 -5.907
Pd -1.742 -0.596 -3.091
```

Values from the calculation:
Space group: No. 139

***

Here is crystalline Ba3TlPd8 at its relaxed geometry from the Alexandria database. Energies are from PBE.

Structure (extended XYZ):
```
12
Lattice="-2.291 -4.199 3.046 1.672 -0.861 5.350 -6.822 4.097 5.797" Properties=species:S:1:pos:R:3 pbc="T T T"
Pd -6.065 -1.524 9.175
Pd -2.723 -3.523 6.296
Pd -1.577 -1.421 4.771
Pd -6.822 0.363 11.207
Pd -3.090 0.834 4.105
Pd -5.235 -1.951 11.831
Pd -4.098 0.133 10.319
Pd -0.740 -1.852 7.449
Ba -3.659 -0.535 7.069
Ba -0.701 -4.988 8.433
Ba -6.179 1.668 8.210
Tl -3.135 -2.860 9.536
```

Values from the calculation:
Space group: No. 160

***

Here is crystalline Ba12TlPd5 at its relaxed geometry from the Alexandria database. Energies are from PBE.

Structure (extended XYZ):
```
18
Lattice="8.175 0.000 0.713 4.087 7.116 0.357 1.365 0.000 15.231" Properties=species:S:1:pos:R:3 pbc="T T T"
Ba 6.875 7.116 2.398
Ba 2.987 2.559 13.576
Ba 5.987 2.369 9.752
Ba 7.649 0.000 6.470
Ba 7.074 4.557 13.933
Ba 6.752 0.000 13.903
Ba 6.553 2.559 2.369
Ba 1.891 0.000 9.475
Ba 10.641 4.557 2.725
Ba 10.075 4.747 10.109
Ba 3.553 2.369 6.192
Ba 7.640 4.747 6.549
Pd 8.858 2.347 8.329
Pd 8.175 4.744 0.713
Pd 4.770 0.000 7.972
Pd 4.770 4.769 7.972
Pd 4.087 2.371 0.357
Tl 0.000 0.000 0.000
```

Values from the calculation:
Space group: No. 12

***

Here is crystalline BaTl8Pd2 at its relaxed geometry from the Alexandria database. Energies are from PBE.

Structure (extended XYZ):
```
11
Lattice="6.595 0.000 0.000 0.000 6.595 0.000 0.000 0.000 8.992" Properties=species:S:1:pos:R:3 pbc="T T T"
Tl 4.969 1.626 1.731
Tl 1.626 4.969 1.731
Tl 1.626 1.626 1.731
Tl 4.969 4.969 1.731
Tl 1.626 1.626 7.261
Tl 1.626 4.969 7.261
Tl 4.969 4.969 7.261
Tl 4.969 1.626 7.261
Ba 3.298 3.298 4.496
Pd 0.000 3.298 0.000
Pd 3.298 0.000 0.000
```

Values from the calculation:
Space group: No. 123

***

Here is crystalline BaTl3Pd2 at its relaxed geometry from the Alexandria database. Energies are from PBE.

Structure (extended XYZ):
```
12
Lattice="-1.033 2.246 -7.474 -5.587 -3.387 -4.391 -6.453 4.113 -2.017" Properties=species:S:1:pos:R:3 pbc="T T T"
Pd -3.310 -0.570 -5.932
Pd 0.000 0.000 0.000
Pd -0.517 1.123 -3.737
Pd -2.794 -1.693 -2.196
Ba -3.588 1.081 -3.325
Ba -9.486 1.891 -10.558
Tl -3.903 1.832 -7.201
Tl -7.003 3.820 -8.148
Tl -6.562 0.221 -9.291
Tl -6.512 2.751 -4.591
Tl -9.170 1.140 -6.681
Tl -6.070 -0.848 -5.734
```

Values from the calculation:
Space group: No. 166
Excess energy over the best structure of this formula in the dataset (eV/atom): 0.122

***

Here is crystalline Ba2TlPd at its relaxed geometry from the Alexandria database. Energies are from PBE.

Structure (extended XYZ):
```
4
Lattice="6.921 -4.318 -5.654 -3.963 7.130 5.654 -4.839 2.128 8.401" Properties=species:S:1:pos:R:3 pbc="T T T"
Tl -4.401 4.629 7.028
Ba -7.449 7.835 11.895
Ba -1.353 1.423 2.160
Pd 0.000 0.000 0.000
```

Values from the calculation:
Space group: No. 139
Excess energy over the best structure of this formula in the dataset (eV/atom): 0.261

***

Here is crystalline BaTlPd4 at its relaxed geometry from the Alexandria database. Energies are from PBE.

Structure (extended XYZ):
```
12
Lattice="4.325 0.000 0.000 0.000 8.199 0.000 0.000 0.000 8.025" Properties=species:S:1:pos:R:3 pbc="T T T"
Pd 2.162 6.378 3.705
Pd 2.162 1.821 7.718
Pd 2.162 0.358 2.006
Pd 0.000 0.000 0.000
Pd 0.000 0.000 4.013
Pd 2.162 7.842 6.019
Pd 2.162 6.378 0.307
Pd 2.162 1.821 4.320
Ba 0.000 5.462 6.019
Ba 0.000 2.738 2.006
Tl 0.000 6.246 2.006
Tl 0.000 1.954 6.019
```

Values from the calculation:
Space group: No. 51
Excess energy over the best structure of this formula in the dataset (eV/atom): 0.117

***

Here is crystalline Ba2Tl5Pd at its relaxed geometry from the Alexandria database. Energies are from PBE.

Structure (extended XYZ):
```
16
Lattice="5.075 0.000 0.000 -2.538 9.664 0.000 0.000 0.000 10.619" Properties=species:S:1:pos:R:3 pbc="T T T"
Tl 2.538 5.969 1.080
Tl 0.000 3.694 9.539
Tl 0.000 6.992 10.216
Tl 2.538 2.671 4.906
Tl 0.000 6.992 5.713
Tl 2.538 1.665 7.964
Tl 0.000 7.999 2.655
Tl 2.538 2.671 0.403
Tl 0.000 3.694 6.390
Tl 2.538 5.969 4.229
Pd 2.538 1.079 2.655
Pd 0.000 8.584 7.964
Ba 0.000 3.888 2.655
Ba 0.000 0.000 5.310
Ba 2.538 5.776 7.964
Ba 0.000 0.000 0.000
```

Values from the calculation:
Space group: No. 63

***

Here is crystalline BaTlPd at its relaxed geometry from the Alexandria database. Energies are from PBE.

Structure (extended XYZ):
```
12
Lattice="7.360 0.000 0.000 0.000 7.360 0.000 0.000 0.000 7.360" Properties=species:S:1:pos:R:3 pbc="T T T"
Ba 2.359 6.039 5.001
Ba 6.039 5.001 2.359
Ba 1.321 1.321 1.321
Ba 5.001 2.359 6.039
Tl 2.431 4.929 1.249
Tl 6.111 6.111 6.111
Tl 1.249 2.431 4.929
Tl 4.929 1.249 2.431
Pd 3.247 3.247 3.247
Pd 4.113 6.927 0.433
Pd 0.433 4.113 6.927
Pd 6.927 0.433 4.113
```

Values from the calculation:
Space group: No. 198

***

Here is crystalline Ba5TlPd at its relaxed geometry from the Alexandria database. Energies are from PBE.

Structure (extended XYZ):
```
14
Lattice="6.604 -0.117 1.878 0.617 8.190 0.175 0.241 -0.058 11.705" Properties=species:S:1:pos:R:3 pbc="T T T"
Ba 2.015 8.084 7.717
Ba 1.623 3.170 1.273
Ba 5.840 4.845 12.486
Ba 4.863 0.809 2.195
Ba 1.756 4.083 7.643
Ba 2.957 6.084 3.912
Ba 2.599 7.206 11.564
Ba 5.706 3.931 6.115
Ba 4.505 1.931 9.847
Ba 5.447 -0.070 6.042
Tl 2.387 1.989 4.744
Tl 5.075 6.026 9.015
Pd 0.887 1.989 10.018
Pd 6.575 6.026 3.741
```

Values from the calculation:
Space group: No. 15

***

Here is crystalline Ba2Tl12Pd7 at its relaxed geometry from the Alexandria database. Energies are from PBE.

Structure (extended XYZ):
```
21
Lattice="-2.418 -1.112 3.789 -0.503 -10.899 -3.520 8.708 3.501 6.584" Properties=species:S:1:pos:R:3 pbc="T T T"
Tl 3.644 -8.265 2.728
Tl 4.321 -3.336 1.777
Tl 2.597 -1.295 4.105
Tl 5.158 -3.888 4.979
Tl 8.040 -1.864 4.582
Tl 5.533 -0.382 6.247
Tl -0.719 -7.916 0.046
Tl 4.554 1.304 3.288
Tl 6.019 -6.046 2.066
Tl 1.152 -3.785 2.453
Tl 1.340 -9.575 -1.955
Tl 0.343 -2.676 -0.567
Pd -0.758 -5.075 0.856
Pd 6.755 2.052 4.912
Pd 7.807 -4.533 3.650
Pd 2.352 -1.416 1.085
Pd 3.353 -5.545 3.341
Pd 5.638 -1.299 3.216
Pd 1.481 -9.347 1.030
Ba -1.209 -0.556 1.895
Ba 2.567 -6.099 -0.152
```

Values from the calculation:
Space group: No. 174

***

Here is crystalline BaTl5Pd2 at its relaxed geometry from the Alexandria database. Energies are from PBE.

Structure (extended XYZ):
```
8
Lattice="4.587 0.000 0.000 2.294 7.081 0.434 2.294 1.727 6.881" Properties=species:S:1:pos:R:3 pbc="T T T"
Pd 2.294 2.278 1.892
Pd 6.881 6.530 5.423
Tl 2.294 4.404 3.657
Tl 4.587 2.004 3.833
Tl 4.587 4.136 1.266
Tl 4.587 4.673 6.049
Tl 4.587 6.804 3.482
Ba 0.000 0.000 0.000
```

Values from the calculation:
Space group: No. 71

***

Here is crystalline BaTl7Pd2 at its relaxed geometry from the Alexandria database. Energies are from PBE.

Structure (extended XYZ):
```
10
Lattice="-4.748 0.870 1.913 -0.272 -8.065 2.992 3.163 6.238 5.015" Properties=species:S:1:pos:R:3 pbc="T T T"
Tl -1.344 2.117 2.748
Tl 0.625 -4.331 3.520
Tl 0.460 0.977 7.745
Tl -2.317 -1.935 2.175
Tl 2.266 2.504 4.487
Tl -0.928 -0.479 4.960
Tl -0.513 -3.075 7.172
Ba 0.000 0.000 0.000
Pd -1.561 -3.114 4.587
Pd -0.295 2.157 5.333
```

Values from the calculation:
Space group: No. 65

***

Here is crystalline BaTl3Pd3 at its relaxed geometry from the Alexandria database. Energies are from PBE.

Structure (extended XYZ):
```
14
Lattice="-1.602 0.986 -4.095 6.059 -6.650 -3.973 -9.019 -2.670 2.886" Properties=species:S:1:pos:R:3 pbc="T T T"
Pd -2.610 -4.746 -3.841
Pd 1.007 -6.708 -5.729
Pd -5.662 -6.038 -0.479
Pd -1.951 -3.588 -1.341
Pd -5.568 -1.627 0.547
Pd 1.100 -2.296 -4.703
Tl 2.757 -4.482 -5.878
Tl -7.319 -3.852 0.696
Tl -1.763 -7.281 -4.783
Tl -1.499 -1.989 -3.612
Tl -2.798 -1.053 -0.399
Tl -3.063 -6.346 -1.570
Ba -5.195 -3.258 -2.471
Ba 0.634 -5.076 -2.710
```

Values from the calculation:
Space group: No. 176
Excess energy over the best structure of this formula in the dataset (eV/atom): 0.000

***

Here is crystalline Ba3TlPd3 at its relaxed geometry from the Alexandria database. Energies are from PBE.

Structure (extended XYZ):
```
14
Lattice="4.648 0.000 0.000 -2.324 5.949 0.000 0.000 0.000 15.384" Properties=species:S:1:pos:R:3 pbc="T T T"
Tl 2.324 0.000 7.692
Tl 2.324 0.000 0.000
Ba 2.324 3.465 1.620
Ba 2.324 0.169 3.846
Ba 0.000 2.485 9.311
Ba 0.000 2.485 13.764
Ba 0.000 5.780 11.538
Ba 2.324 3.465 6.072
Pd 2.324 4.996 9.114
Pd 0.000 0.954 1.422
Pd 2.324 3.440 11.538
Pd 2.324 4.996 13.961
Pd 0.000 0.954 6.270
Pd 0.000 2.509 3.846
```

Values from the calculation:
Space group: No. 63
Excess energy over the best structure of this formula in the dataset (eV/atom): 0.000

***

Here is crystalline BaTl4Pd2 at its relaxed geometry from the Alexandria database. Energies are from PBE.

Structure (extended XYZ):
```
28
Lattice="-4.399 -0.240 2.092 -3.237 -0.609 -6.876 1.545 -19.567 1.005" Properties=species:S:1:pos:R:3 pbc="T T T"
Pd -3.061 -4.493 1.575
Pd -3.499 -1.287 -4.662
Pd -3.030 -15.922 -5.354
Pd -3.428 -9.358 0.246
Pd -2.386 -5.873 -2.847
Pd -2.592 -19.129 0.883
Pd -3.705 -14.543 -0.932
Pd -2.663 -11.058 -4.025
Tl -5.269 -9.830 -3.680
Tl -5.185 -6.606 -3.132
Tl -1.539 -4.000 -0.852
Tl -0.821 -10.586 -0.099
Tl -2.242 -13.866 -3.463
Tl -3.200 -1.643 1.611
Tl -2.077 -8.691 -2.521
Tl -0.906 -13.810 -0.647
Tl -4.014 -11.725 -1.258
Tl -3.848 -6.550 -0.316
Tl -3.968 -19.514 -2.054
Tl -2.891 -18.773 -5.390
Tl -2.123 -0.901 -1.725
Tl -4.552 -16.416 -2.927
Tl -2.621 -16.248 1.153
Tl -3.470 -4.168 -4.932
Ba -4.768 -3.181 -1.862
Ba -1.323 -17.235 -1.917
Ba -0.601 -7.170 0.756
Ba -5.490 -13.246 -4.535
```

Values from the calculation:
Space group: No. 62
Excess energy over the best structure of this formula in the dataset (eV/atom): 0.000

***

Here is crystalline Ba6TlPd at its relaxed geometry from the Alexandria database. Energies are from PBE.

Structure (extended XYZ):
```
8
Lattice="-8.006 0.361 -1.211 -3.499 -5.127 5.811 -2.168 2.604 7.213" Properties=species:S:1:pos:R:3 pbc="T T T"
Tl 0.000 0.000 0.000
Ba -6.512 -2.619 9.596
Ba -3.090 -1.133 1.060
Ba -4.619 -1.832 5.210
Ba -9.053 -0.330 6.603
Ba -7.160 0.457 2.217
Ba -8.415 -3.632 3.540
Pd -5.752 -2.383 2.300
```

Values from the calculation:
Space group: No. 12
Excess energy over the best structure of this formula in the dataset (eV/atom): 0.006

***

Here is crystalline Ba6TlPd at its relaxed geometry from the Alexandria database. Energies are from PBE.

Structure (extended XYZ):
```
8
Lattice="4.354 -0.001 1.500 1.969 12.659 1.302 -0.242 -1.890 7.761" Properties=species:S:1:pos:R:3 pbc="T T T"
Ba 2.492 -0.511 6.894
Ba 3.590 11.279 3.669
Ba 1.501 7.208 2.681
Ba 4.581 3.560 7.882
Ba 2.382 8.273 7.151
Ba 3.700 2.496 3.413
Pd 0.000 0.000 0.000
Tl 3.041 5.384 5.282
```

Values from the calculation:
Space group: No. 2
Excess energy over the best structure of this formula in the dataset (eV/atom): 0.000

***

Number 1: E_tot -5.423 eV per atom. Number 2: E_tot -3.626 eV per atom. Number 3: E_tot -3.793 eV per atom. Number 4: E_tot -4.624 eV per atom. Number 5: E_tot -3.224 eV per atom. Number 6: E_tot -2.870 eV per atom. Number 7: E_tot -3.437 eV per atom. Number 8: E_tot -3.018 eV per atom. Number 9: E_tot -4.441 eV per atom. Number 10: E_tot -2.931 eV per atom. Number 11: E_tot -3.615 eV per atom. Number 12: E_tot -2.727 eV per atom. Number 13: E_tot -3.499 eV per atom. Number 14: E_tot -3.264 eV per atom. Number 15: E_tot -2.945 eV per atom. Number 16: E_tot -3.809 eV per atom. Number 17: E_tot -3.882 eV per atom. Number 18: E_tot -3.407 eV per atom. Number 19: E_tot -2.594 eV per atom. Number 20: E_tot -2.600 eV per atom.